6
Lattice="5.262 0.000 0.000 2.631 4.557 0.000 2.631 1.519 4.296" Properties=species:S:1:pos:R:3 comment="HoZnIr4 PBE optimized geometry" formation_enthalpy_0k_ev_per_atom=-0.341 spacegroup="F-43m (216)" magmom_total_mub_per_fu=0.0 pbc="T T T"
Ir 5.262 1.514 2.687
Ir 3.942 3.800 2.687
Ir 6.581 3.800 2.687
Ir 5.262 3.038 0.532
Ho 2.631 1.519 1.074
Zn 0.000 0.000 0.000

***

4
Lattice="4.799 -0.012 0.000 0.973 4.699 0.000 -2.886 -2.344 3.034" Properties=species:S:1:pos:R:3 comment="Zr2CoSi PBE optimized geometry" spacegroup="I4/mmm (139)" e_form_raw_mev_per_atom=-389 magmom_total_mub_per_fu=1.3 pbc="T T T"
Si 2.399 -0.006 1.517
Zr 0.000 0.000 0.000
Zr 2.886 2.344 0.000
Co 0.487 2.350 1.517

***

4
Lattice="-0.298 -2.846 -1.419 5.300 0.295 -1.703 1.711 -2.608 4.872" Properties=species:S:1:pos:R:3 comment="HoPa3 PBE optimized geometry" formation_enthalpy_0k_ev_per_atom=0.172 spacegroup="Pmm2 (25)" polymorph_energy_ev_per_fu=0.10 magmom_total_mub_per_fu=0.0 pbc="T T T"
Pa 3.883 -3.382 2.374
Pa 0.762 -2.811 1.884
Pa 0.038 -0.058 0.108
Ho 3.172 -0.648 0.633

***

6
Lattice="-3.068 2.683 -1.010 -3.009 -2.763 0.969 -1.100 3.003 8.297" Properties=species:S:1:pos:R:3 comment="AsBrO PBE optimized geometry" spacegroup="C2/m (12)" e_form_raw_mev_per_atom=-801 magmom_total_mub_per_fu=0.0 pbc="T T T"
As -3.734 0.362 1.107
As -3.443 2.561 7.149
O -3.026 -1.200 0.401
O -4.151 4.123 7.855
Br -1.847 0.919 2.583
Br -5.330 2.004 5.673